Entry 1:
! CoOs2Se (PBE, optimized geometry); values from VASP
&SYSTEM
  ibrav = 0, nat = 4, ntyp = 3
/
ATOMIC_SPECIES
Co 58.93 Co.upf
Os 190.23 Os.upf
Se 78.96 Se.upf
CELL_PARAMETERS angstrom
4.532 0.000 0.000
0.000 2.897 -0.051
0.000 0.319 4.451
ATOMIC_POSITIONS crystal
Co 0.500 0.750 0.750
Os 0.000 0.970 0.995
Os 0.000 0.530 0.505
Se 0.500 0.250 0.250
! calculated volume	59	Å³ per cell
! formation energy without anion corrections	0.7780	eV/atom

***

Entry 2:
! BeZnAu (PBE, optimized geometry); values from VASP
&SYSTEM
  ibrav = 0, nat = 6, ntyp = 3
/
ATOMIC_SPECIES
Be 9.01 Be.upf
Zn 65.41 Zn.upf
Au 196.97 Au.upf
CELL_PARAMETERS angstrom
2.839 0.000 0.000
0.000 3.882 0.000
0.000 0.000 8.658
ATOMIC_POSITIONS crystal
Be 0.000 0.000 0.760
Be 0.500 0.500 0.260
Zn 0.000 0.500 0.027
Zn 0.500 0.000 0.527
Au 0.000 0.000 0.263
Au 0.500 0.500 0.763
! calculated volume	95	Å³ per cell
! polymorph energy (0 for the lowest one)	0.133	eV per atom
! DFT formation energy	26	meV per atom

***

Entry 3:
! Ba2V2Te (PBE, optimized geometry); values from VASP
&SYSTEM
  ibrav = 0, nat = 5, ntyp = 3
/
ATOMIC_SPECIES
Te 127.60 Te.upf
Ba 137.33 Ba.upf
V 50.94 V.upf
CELL_PARAMETERS angstrom
6.572 0.000 0.000
0.000 6.572 0.000
3.286 3.286 3.822
ATOMIC_POSITIONS crystal
Te 0.000 0.000 0.000
Ba 0.750 0.250 0.500
Ba 0.250 0.750 0.500
V 0.382 0.382 0.237
V 0.618 0.618 0.763
! calculated volume	165	Å³ per cell
! polymorph energy (0 for the lowest one)	0.222	eV per atom
! formation energy without anion corrections	0.4315	eV/atom

***

Entry 4:
! KUAg2Br8 (PBE, optimized geometry); values from VASP
&SYSTEM
  ibrav = 0, nat = 12, ntyp = 4
/
ATOMIC_SPECIES
K 39.10 K.upf
U 238.03 U.upf
Ag 107.87 Ag.upf
Br 79.90 Br.upf
CELL_PARAMETERS angstrom
6.866 -0.539 0.105
-0.565 7.589 1.443
0.182 1.971 9.405
ATOMIC_POSITIONS crystal
K 0.000 0.000 0.500
U 0.000 0.000 0.000
Ag 0.508 0.361 0.663
Ag 0.492 0.639 0.337
Br 0.110 0.762 0.269
Br 0.648 0.767 0.048
Br 0.855 0.199 0.141
Br 0.890 0.238 0.731
Br 0.352 0.233 0.952
Br 0.145 0.801 0.859
Br 0.561 0.742 0.568
Br 0.439 0.258 0.432
! calculated volume	467	Å³ per cell
! formation energy without anion corrections	-1.0086	eV/atom

***

Entry 5:
! CsRb2Hg7Pt2 (PBE, optimized geometry); values from VASP
&SYSTEM
  ibrav = 0, nat = 12, ntyp = 4
/
ATOMIC_SPECIES
Cs 132.91 Cs.upf
Rb 85.47 Rb.upf
Hg 200.59 Hg.upf
Pt 195.08 Pt.upf
CELL_PARAMETERS angstrom
-5.317 -0.302 1.045
0.613 -5.128 1.667
0.010 1.946 15.018
ATOMIC_POSITIONS crystal
Cs 0.000 0.000 0.000
Rb 0.810 0.810 0.371
Rb 0.190 0.190 0.629
Hg 0.500 0.500 0.000
Hg 0.307 0.307 0.378
Hg 0.693 0.693 0.622
Hg 0.902 0.402 0.192
Hg 0.402 0.902 0.192
Hg 0.598 0.098 0.808
Hg 0.098 0.598 0.808
Pt 0.596 0.596 0.811
Pt 0.404 0.404 0.189
! calculated volume	431	Å³ per cell
! DFT formation energy	-268	meV per atom

***

Entry 6:
! PuBP (PBE, optimized geometry); values from VASP
&SYSTEM
  ibrav = 0, nat = 3, ntyp = 3
/
ATOMIC_SPECIES
P 30.97 P.upf
B 10.81 B.upf
Pu 244.00 Pu.upf
CELL_PARAMETERS angstrom
4.028 0.000 0.000
0.000 3.475 0.000
0.000 -1.737 3.009
ATOMIC_POSITIONS crystal
P 0.167 0.000 0.000
B 0.167 0.667 0.333
Pu 0.667 0.333 0.667
! calculated volume	42	Å³ per cell
! polymorph energy (0 for the lowest one)	0.000	eV per atom
! DFT formation energy	-533	meV per atom

***

Entry 7:
! Ac2ScZn3Ag12 (PBE, optimized geometry); values from VASP
&SYSTEM
  ibrav = 0, nat = 18, ntyp = 4
/
ATOMIC_SPECIES
Ac 227.00 Ac.upf
Sc 44.96 Sc.upf
Zn 65.41 Zn.upf
Ag 107.87 Ag.upf
CELL_PARAMETERS angstrom
8.407 -0.190 -0.135
3.987 7.404 -0.135
3.987 2.321 7.032
ATOMIC_POSITIONS crystal
Ac 0.606 0.606 0.606
Ac 0.394 0.394 0.394
Sc 0.000 0.000 0.000
Zn 0.500 0.000 0.000
Zn 0.000 0.500 0.000
Zn 0.000 0.000 0.500
Ag 0.351 0.351 0.882
Ag 0.864 0.864 0.390
Ag 0.390 0.864 0.864
Ag 0.882 0.351 0.351
Ag 0.864 0.390 0.864
Ag 0.351 0.882 0.351
Ag 0.649 0.649 0.118
Ag 0.136 0.136 0.610
Ag 0.610 0.136 0.136
Ag 0.118 0.649 0.649
Ag 0.136 0.610 0.136
Ag 0.649 0.118 0.649
! calculated volume	448	Å³ per cell
! DFT formation energy	213	meV per atom

***

Entry 8:
! Sb2MoPt (PBE, optimized geometry); values from VASP
&SYSTEM
  ibrav = 0, nat = 4, ntyp = 3
/
ATOMIC_SPECIES
Mo 95.94 Mo.upf
Pt 195.08 Pt.upf
Sb 121.76 Sb.upf
CELL_PARAMETERS angstrom
-4.716 -6.486 -7.035
-4.293 -8.546 -4.725
-6.816 -6.704 -4.733
ATOMIC_POSITIONS crystal
Mo 0.491 0.491 0.491
Pt 0.759 0.759 0.759
Sb 0.022 0.022 0.022
Sb 0.229 0.229 0.229
! calculated volume	89	Å³ per cell
! polymorph energy (0 for the lowest one)	0.282	eV per atom
! formation energy without anion corrections	0.2239	eV/atom

***

Entry 9:
! Ag5Te4PBr2 (PBE, optimized geometry); values from VASP
&SYSTEM
  ibrav = 0, nat = 12, ntyp = 4
/
ATOMIC_SPECIES
Ag 107.87 Ag.upf
Te 127.60 Te.upf
P 30.97 P.upf
Br 79.90 Br.upf
CELL_PARAMETERS angstrom
6.664 0.000 0.000
-3.332 6.248 0.000
0.000 0.000 8.284
ATOMIC_POSITIONS crystal
Ag 0.070 0.389 0.229
Ag 0.387 0.000 0.500
Ag 0.070 0.389 0.771
Ag 0.681 0.611 0.771
Ag 0.681 0.611 0.229
Te 0.671 0.000 0.252
Te 0.671 0.000 0.748
Te 0.396 0.322 0.000
Te 0.074 0.678 0.000
P 0.468 0.000 0.000
Br 0.948 0.659 0.500
Br 0.289 0.341 0.500
! calculated volume	345	Å³ per cell
! formation energy without anion corrections	-0.1107	eV/atom

***

Entry 10:
! Ce2Pr2S7 (PBE, optimized geometry); values from VASP
&SYSTEM
  ibrav = 0, nat = 11, ntyp = 3
/
ATOMIC_SPECIES
Ce 140.12 Ce.upf
Pr 140.91 Pr.upf
S 32.06 S.upf
CELL_PARAMETERS angstrom
-2.372 2.980 1.370
-7.588 -1.590 -3.700
-6.003 -4.124 4.556
ATOMIC_POSITIONS crystal
Ce 0.740 0.841 0.679
Ce 0.260 0.321 0.159
Pr 0.000 0.789 0.211
Pr 0.500 0.335 0.665
S 0.810 0.080 0.299
S 0.858 0.419 0.866
S 0.500 0.014 0.986
S 0.615 0.495 0.274
S 0.385 0.726 0.505
S 0.190 0.701 0.920
S 0.142 0.134 0.581
! calculated volume	252	Å³ per cell
! formation energy without anion corrections	-1.8631	eV/atom

***

Entry 11:
! Pm4Ho4Tm5 (PBE, optimized geometry); values from VASP
&SYSTEM
  ibrav = 0, nat = 13, ntyp = 3
/
ATOMIC_SPECIES
Pm 145.00 Pm.upf
Ho 164.93 Ho.upf
Tm 168.93 Tm.upf
CELL_PARAMETERS angstrom
-4.854 0.079 -1.228
-4.003 -6.739 5.179
-3.997 6.042 5.981
ATOMIC_POSITIONS crystal
Pm 0.922 0.461 0.696
Pm 0.618 0.304 0.461
Pm 0.078 0.539 0.304
Pm 0.382 0.696 0.539
Ho 0.771 0.382 0.076
Ho 0.229 0.618 0.924
Ho 0.847 0.924 0.382
Ho 0.153 0.076 0.618
Tm 0.689 0.850 0.772
Tm 0.311 0.150 0.228
Tm 0.000 0.000 0.000
Tm 0.539 0.772 0.150
Tm 0.461 0.228 0.850
! calculated volume	411	Å³ per cell
! DFT formation energy	22	meV per atom

***

Entry 12:
! BaRe2RuF (PBE, optimized geometry); values from VASP
&SYSTEM
  ibrav = 0, nat = 5, ntyp = 4
/
ATOMIC_SPECIES
Re 186.21 Re.upf
F 19.00 F.upf
Ba 137.33 Ba.upf
Ru 101.07 Ru.upf
CELL_PARAMETERS angstrom
4.244 0.000 0.000
0.000 5.109 0.000
0.000 0.000 4.244
ATOMIC_POSITIONS crystal
Re 0.000 0.000 0.500
Re 0.500 0.000 0.000
F 0.000 0.000 0.000
Ba 0.000 0.500 0.000
Ru 0.500 0.500 0.500
! calculated volume	92	Å³ per cell
! formation energy without anion corrections	1.3649	eV/atom

***

Entry 13:
! Hf2ThPt (PBE, optimized geometry); values from VASP
&SYSTEM
  ibrav = 0, nat = 4, ntyp = 3
/
ATOMIC_SPECIES
Hf 178.49 Hf.upf
Pt 195.08 Pt.upf
Th 232.04 Th.upf
CELL_PARAMETERS angstrom
3.423 0.000 0.000
0.000 3.423 0.000
0.000 0.000 7.687
ATOMIC_POSITIONS crystal
Hf 0.000 0.000 0.797
Hf 0.000 0.000 0.203
Pt 0.500 0.500 0.000
Th 0.500 0.500 0.500
! calculated volume	90	Å³ per cell
! polymorph energy (0 for the lowest one)	0.000	eV per atom
! DFT formation energy	-471	meV per atom

***

Entry 14:
! Ba4CuBr (PBE, optimized geometry); values from VASP
&SYSTEM
  ibrav = 0, nat = 6, ntyp = 3
/
ATOMIC_SPECIES
Ba 137.33 Ba.upf
Cu 63.55 Cu.upf
Br 79.90 Br.upf
CELL_PARAMETERS angstrom
-7.448 -0.272 0.870
-4.469 3.738 -4.729
-4.219 -3.759 -4.937
ATOMIC_POSITIONS crystal
Ba 0.875 0.375 0.375
Ba 0.375 0.375 0.875
Ba 0.375 0.875 0.375
Ba 0.375 0.375 0.375
Cu 0.000 0.000 0.000
Br 0.750 0.750 0.750
! calculated volume	299	Å³ per cell
! formation energy without anion corrections	0.3094	eV/atom

***

Entry 15:
! Sn2Ge2Cl (PBE, optimized geometry); values from VASP
&SYSTEM
  ibrav = 0, nat = 10, ntyp = 3
/
ATOMIC_SPECIES
Ge 72.64 Ge.upf
Sn 118.71 Sn.upf
Cl 35.45 Cl.upf
CELL_PARAMETERS angstrom
8.375 0.000 0.000
0.000 8.375 0.000
0.000 0.000 3.437
ATOMIC_POSITIONS crystal
Ge 0.357 0.857 0.000
Ge 0.857 0.643 0.000
Ge 0.643 0.143 0.000
Ge 0.143 0.357 0.000
Sn 0.150 0.650 0.500
Sn 0.650 0.850 0.500
Sn 0.850 0.350 0.500
Sn 0.350 0.150 0.500
Cl 0.000 0.000 0.000
Cl 0.500 0.500 0.000
! calculated volume	241	Å³ per cell
! polymorph energy (0 for the lowest one)	0.150	eV per atom
! formation energy without anion corrections	0.0397	eV/atom

***

Entry 16:
! Nd6Dy12In (PBE, optimized geometry); values from VASP
&SYSTEM
  ibrav = 0, nat = 19, ntyp = 3
/
ATOMIC_SPECIES
Nd 144.24 Nd.upf
Dy 162.50 Dy.upf
In 114.82 In.upf
CELL_PARAMETERS angstrom
-3.771 -7.616 -0.680
2.898 -2.276 7.688
-7.062 3.011 3.707
ATOMIC_POSITIONS crystal
Nd 0.740 0.908 0.304
Nd 0.696 0.260 0.092
Nd 0.092 0.696 0.260
Nd 0.260 0.092 0.696
Nd 0.304 0.740 0.908
Nd 0.908 0.304 0.740
Dy 0.778 0.539 0.436
Dy 0.436 0.778 0.539
Dy 0.539 0.436 0.778
Dy 0.222 0.461 0.564
Dy 0.564 0.222 0.461
Dy 0.461 0.564 0.222
Dy 0.014 0.187 0.358
Dy 0.813 0.642 0.986
Dy 0.642 0.986 0.813
Dy 0.986 0.813 0.642
Dy 0.187 0.358 0.014
Dy 0.358 0.014 0.187
In 0.000 0.000 0.000
! calculated volume	619	Å³ per cell
! DFT formation energy	66	meV per atom

***

Entry 17:
! CuB6Pt12 (PBE, optimized geometry); values from VASP
&SYSTEM
  ibrav = 0, nat = 19, ntyp = 3
/
ATOMIC_SPECIES
Cu 63.55 Cu.upf
B 10.81 B.upf
Pt 195.08 Pt.upf
CELL_PARAMETERS angstrom
6.259 0.000 2.213
-3.200 5.786 2.412
-0.140 0.000 7.036
ATOMIC_POSITIONS crystal
Cu 0.000 0.000 0.000
B 0.491 0.641 0.245
B 0.150 0.886 0.359
B 0.264 0.755 0.886
B 0.509 0.359 0.755
B 0.850 0.114 0.641
B 0.736 0.245 0.114
Pt 0.482 0.883 0.355
Pt 0.599 0.763 0.883
Pt 0.837 0.355 0.763
Pt 0.518 0.117 0.645
Pt 0.401 0.237 0.117
Pt 0.163 0.645 0.237
Pt 0.254 0.477 0.806
Pt 0.939 0.194 0.283
Pt 0.223 0.283 0.523
Pt 0.746 0.523 0.194
Pt 0.061 0.806 0.717
Pt 0.777 0.717 0.477
! calculated volume	257	Å³ per cell
! DFT formation energy	-161	meV per atom

***

Entry 18:
! TaAg2Se (PBE, optimized geometry); values from VASP
&SYSTEM
  ibrav = 0, nat = 4, ntyp = 3
/
ATOMIC_SPECIES
Ag 107.87 Ag.upf
Se 78.96 Se.upf
Ta 180.95 Ta.upf
CELL_PARAMETERS angstrom
2.950 0.003 0.000
-1.012 2.771 0.000
0.000 0.000 9.696
ATOMIC_POSITIONS crystal
Ag 0.000 0.000 0.987
Ag 0.500 0.500 0.223
Se 0.000 0.000 0.543
Ta 0.500 0.500 0.746
! calculated volume	79	Å³ per cell
! formation energy without anion corrections	0.1223	eV/atom

***

Entry 19:
! Dy2ThUP4 (PBE, optimized geometry); values from VASP
&SYSTEM
  ibrav = 0, nat = 8, ntyp = 4
/
ATOMIC_SPECIES
Dy 162.50 Dy.upf
Th 232.04 Th.upf
U 238.03 U.upf
P 30.97 P.upf
CELL_PARAMETERS angstrom
-2.786 -1.890 -2.207
-3.863 -0.982 5.717
-1.758 6.068 -2.976
ATOMIC_POSITIONS crystal
Dy 0.500 0.000 0.500
Dy 0.000 0.500 0.500
Th 0.500 0.500 0.000
U 0.000 0.000 0.000
P 0.500 0.243 0.249
P 0.500 0.757 0.751
P 0.000 0.242 0.747
P 0.000 0.758 0.253
! calculated volume	185	Å³ per cell
! DFT formation energy	-1425	meV per atom

***

Entry 20:
! RbAlSb (PBE, optimized geometry); values from VASP
&SYSTEM
  ibrav = 0, nat = 3, ntyp = 3
/
ATOMIC_SPECIES
Sb 121.76 Sb.upf
Al 26.98 Al.upf
Rb 85.47 Rb.upf
CELL_PARAMETERS angstrom
6.236 0.000 0.000
0.000 4.499 0.000
0.000 -2.249 3.896
ATOMIC_POSITIONS crystal
Sb 0.101 0.000 0.000
Al 0.238 0.333 0.667
Rb 0.661 0.667 0.333
! calculated volume	109	Å³ per cell
! polymorph energy (0 for the lowest one)	0.096	eV per atom
! formation energy without anion corrections	-0.1410	eV/atom

***

Entry 21:
! NaSiOs (PBE, optimized geometry); values from VASP
&SYSTEM
  ibrav = 0, nat = 6, ntyp = 3
/
ATOMIC_SPECIES
Na 22.99 Na.upf
Si 28.09 Si.upf
Os 190.23 Os.upf
CELL_PARAMETERS angstrom
-1.781 -0.339 3.863
2.720 -3.139 0.978
4.220 4.381 2.329
ATOMIC_POSITIONS crystal
Na 0.000 0.500 0.851
Na 0.500 0.000 0.149
Si 0.000 0.500 0.340
Si 0.500 0.000 0.660
Os 0.500 0.500 0.500
Os 0.000 0.000 0.500
! calculated volume	119	Å³ per cell
! formation energy without anion corrections	-0.0650	eV/atom

***

Entry 22:
! SbTeIr2 (PBE, optimized geometry); values from VASP
&SYSTEM
  ibrav = 0, nat = 4, ntyp = 3
/
ATOMIC_SPECIES
Sb 121.76 Sb.upf
Ir 192.22 Ir.upf
Te 127.60 Te.upf
CELL_PARAMETERS angstrom
3.786 1.259 2.557
-0.342 0.379 4.711
2.136 -3.177 2.794
ATOMIC_POSITIONS crystal
Sb 0.000 0.000 0.000
Ir 0.250 0.250 0.250
Ir 0.750 0.750 0.750
Te 0.500 0.500 0.500
! calculated volume	75	Å³ per cell
! polymorph energy (0 for the lowest one)	0.351	eV per atom
! formation energy without anion corrections	0.4240	eV/atom

***

Entry 23:
! LiTlGaBr3 (PBE, optimized geometry); values from VASP
&SYSTEM
  ibrav = 0, nat = 12, ntyp = 4
/
ATOMIC_SPECIES
Li 6.94 Li.upf
Tl 204.38 Tl.upf
Ga 69.72 Ga.upf
Br 79.90 Br.upf
CELL_PARAMETERS angstrom
-3.063 -6.051 2.145
5.273 -5.035 0.969
3.387 -0.345 7.685
ATOMIC_POSITIONS crystal
Li 0.750 0.052 0.895
Li 0.250 0.948 0.105
Tl 0.250 0.242 0.516
Tl 0.750 0.758 0.484
Ga 0.250 0.572 0.856
Ga 0.750 0.428 0.144
Br 0.497 0.833 0.879
Br 0.003 0.288 0.879
Br 0.750 0.224 0.552
Br 0.503 0.167 0.121
Br 0.997 0.712 0.121
Br 0.250 0.776 0.448
! calculated volume	376	Å³ per cell
! formation energy without anion corrections	-0.9289	eV/atom

***

Entry 24:
! Ga2Ir2Pd (PBE, optimized geometry); values from VASP
&SYSTEM
  ibrav = 0, nat = 10, ntyp = 3
/
ATOMIC_SPECIES
Ir 192.22 Ir.upf
Ga 69.72 Ga.upf
Pd 106.42 Pd.upf
CELL_PARAMETERS angstrom
7.248 0.000 0.000
0.000 7.248 0.000
0.000 0.000 2.878
ATOMIC_POSITIONS crystal
Ir 0.148 0.648 0.500
Ir 0.648 0.852 0.500
Ir 0.852 0.352 0.500
Ir 0.352 0.148 0.500
Ga 0.350 0.850 0.000
Ga 0.850 0.650 0.000
Ga 0.650 0.150 0.000
Ga 0.150 0.350 0.000
Pd 0.000 0.000 0.000
Pd 0.500 0.500 0.000
! calculated volume	151	Å³ per cell
! polymorph energy (0 for the lowest one)	0.000	eV per atom
! DFT formation energy	-282	meV per atom